Below is a relaxed SrGdCu crystal, with properties calculated at the GGA-PBE level.

Cell: 3.6634 3.6634 7.1710 Å, 104.80 104.80 90.00°
Closest atoms and distances in Å follow each position.
Atoms (fractional coordinates):
Sr  0.0258  0.0258  0.0516  4 Cu 3.35, 1 Gd 3.53, 4 Sr 3.66
Gd  0.2897  0.2897  0.5794  4 Cu 2.95
Cu  0.6845  0.6845  0.3690  4 Gd 2.95

**Energy of formation from the pure elements**: -0.014 eV per atom
**Magnetic moment**: 2.434 μB/atom